Compound: Ni2IF
Source: Alexandria via LeMat-Bulk
Functional: PBE with a Hubbard U
Structure: optimized geometry

Cell and atoms, written as extended XYZ:
```
16
Lattice="6.1716 0.0000 0.0000 0.0000 6.1716 0.0000 0.0000 0.0000 6.1716" Properties=species:S:1:pos:R:3 pbc="T T T"
Ni 1.5429 1.5429 1.5429
Ni 1.5429 1.5429 4.6287
Ni 1.5429 4.6287 1.5429
Ni 1.5429 4.6287 4.6287
Ni 4.6287 1.5429 1.5429
Ni 4.6287 1.5429 4.6287
Ni 4.6287 4.6287 1.5429
Ni 4.6287 4.6287 4.6287
I 0.0000 0.0000 0.0000
I 0.0000 3.0858 3.0858
I 3.0858 0.0000 3.0858
I 3.0858 3.0858 0.0000
F 0.0000 0.0000 3.0858
F 0.0000 3.0858 0.0000
F 3.0858 0.0000 0.0000
F 3.0858 3.0858 3.0858
```

Values from the calculation:
Final energy   -27.25 eV/cell
Energy above the most stable polymorph in this dataset   0.758 eV/atom